# Pr2S3 | OQMD | PBE | relaxed
# Electronic total energy: -128.96 eV for the cell shown
# Density: 5.2 g cm⁻³
data_Pr2S3
_cell_length_a 7.5540
_cell_length_b 4.0881
_cell_length_c 15.7564
_cell_angle_alpha 90.00
_cell_angle_beta 90.00
_cell_angle_gamma 90.00
_space_group_name_H-M_alt 'P n m a'
_space_group_IT_number 62
loop_
_space_group_symop_operation_xyz
'x,y,z'
'-x,-y,-z'
'-x+1/2,-y,z+1/2'
'x+1/2,y,-z+1/2'
'x+1/2,-y+1/2,-z+1/2'
'-x+1/2,y+1/2,z+1/2'
'-x,y+1/2,-z'
'x,-y+1/2,z'
loop_
_atom_site_label
_atom_site_fract_x
_atom_site_fract_y
_atom_site_fract_z
_atom_site_occupancy
Pr1 0.1432 0.2500 0.2045 1
Pr2 0.2349 0.7500 0.4560 1
S1 0.0091 0.2500 0.3906 1
S2 0.1255 0.7500 0.0676 1
S3 0.1467 0.2500 0.7809 1